Entry 1:
Material: CaOs2Pt
Method: DFT, PBE
State: relaxed

Calculated values
- Calculated formation energy: 0.378 eV per atom
- Offset from the most stable computed form: 29.6 kJ per mole of atoms
- Total magnetization: 0.0 μB per cell

abc: 3.8738 3.8738 4.4337
angles: 90.00 90.00 90.00
Sites, in units of the cell vectors:
Ca 0.0000 0.0000 0.0000
Os 0.0000 0.5000 0.5000
Os 0.5000 0.0000 0.5000
Pt 0.5000 0.5000 0.0000



Entry 2:
Material: Ca2OsPt2
Method: DFT, PBE
State: relaxed

Calculated values
- Calculated formation energy: 0.681 eV per atom
- Offset from the most stable computed form: 99.5 kJ per mole of atoms
- Total magnetization: 2.9 μB per cell

abc: 6.8481 6.8481 6.8481
angles: 143.74 143.74 52.21
Sites, in units of the cell vectors:
Ca 0.2500 0.7500 0.5000
Ca 0.7500 0.2500 0.5000
Os 0.0000 0.0000 0.0000
Pt 0.3985 0.3985 0.0000
Pt 0.6015 0.6015 0.0000



Entry 3:
Material: Ca4OsPt
Method: DFT, PBE
State: relaxed

Calculated values
- Calculated formation energy: 0.895 eV per atom
- Total magnetization: 0.0 μB per cell

abc: 5.8507 5.8507 5.8507
angles: 60.00 60.00 60.00
Sites, in units of the cell vectors:
Ca 0.1245 0.1245 0.1245
Ca 0.1245 0.1245 0.6264
Ca 0.1245 0.6264 0.1245
Ca 0.6264 0.1245 0.1245
Os 0.7500 0.7500 0.7500
Pt 0.5000 0.5000 0.5000



Entry 4:
Material: CaOs2Pt
Method: DFT, PBE
State: relaxed

Calculated values
- Calculated formation energy: 0.487 eV per atom
- Offset from the most stable computed form: 40.0 kJ per mole of atoms
- Total magnetization: 0.0 μB per cell

abc: 5.1354 5.1354 5.1354
angles: 135.04 135.04 65.47
Sites, in units of the cell vectors:
Ca 0.0000 0.0000 0.0000
Os 0.2500 0.7500 0.5000
Os 0.7500 0.2500 0.5000
Pt 0.5000 0.5000 0.0000



Entry 5:
Material: Ca2OsPt2
Method: DFT, PBE
State: relaxed

Calculated values
- Calculated formation energy: -0.350 eV per atom
- Offset from the most stable computed form: 0.0 kJ per mole of atoms
- Total magnetization: 1.3 μB per cell

abc: 6.7382 6.7382 4.5880
angles: 90.00 90.00 90.00
Sites, in units of the cell vectors:
Ca 0.1780 0.3220 0.0000
Ca 0.3220 0.8220 0.0000
Ca 0.6780 0.1780 0.0000
Ca 0.8220 0.6780 0.0000
Os 0.0000 0.0000 0.5000
Os 0.5000 0.5000 0.5000
Pt 0.1372 0.6372 0.5000
Pt 0.3628 0.1372 0.5000
Pt 0.6372 0.8628 0.5000
Pt 0.8628 0.3628 0.5000



Entry 6:
Material: CaOs2Pt
Method: DFT, PBE
State: relaxed

Calculated values
- Calculated formation energy: 0.463 eV per atom
- Offset from the most stable computed form: 37.7 kJ per mole of atoms
- Total magnetization: 0.0 μB per cell

abc: 2.7860 2.7860 8.6910
angles: 90.00 90.00 90.00
Sites, in units of the cell vectors:
Ca 0.0000 0.0000 0.0000
Os 0.5000 0.5000 0.2787
Os 0.5000 0.5000 0.7213
Pt 0.0000 0.0000 0.5000